VASP calculation (PBE-GGA) on a geometry-optimized BeCr2CuTc structure.

Lattice parameters (Å, degrees): 4.2119 4.2119 4.4800 90.00 90.00 90.00
Closest atoms and distances in Å follow each position.
Space group P4/mmm (No. 123)
Unique sites:
1 Be 0.0000 0.0000 0.0000 x1  4 Tc 2.98, 8 Cr 3.07
2 Cr 0.0000 0.5000 0.5000 x2  2 Cu 2.11
3 Cu 0.5000 0.5000 0.5000 x1  4 Cr 2.11, 2 Tc 2.24
4 Tc 0.5000 0.5000 0.0000 x1  2 Cu 2.24

Properties
energy relative to the lowest polymorph listed for this composition	0.981	eV per atom
crystal system	tetragonal
total moment	0.08	μB per cell
formation energy	1.87	eV per atom


VASP calculation (PBE-GGA) on a geometry-optimized Mg5In structure.

Lattice parameters (Å, degrees): 5.8209 5.8209 5.2249 90.00 90.00 120.00
Closest atoms and distances in Å follow each position.
Space group P6/mmm (No. 191)
Unique sites:
1 Mg 0.0000 0.5000 0.0000 x3  8 Mg 2.91-3.11
2 Mg 0.3333 0.6667 0.5000 x2  9 Mg 3.11-3.36, 3 In 3.36
3 In 0.0000 0.0000 0.5000 x1  6 Mg 3.36

Properties
crystal system	hexagonal
total moment	0.00	μB per cell
formation energy	0.13	eV per atom


VASP calculation (PBE-GGA) on a geometry-optimized Hg4TeIBr2 structure.

Lattice parameters (Å, degrees): 7.9389 10.4625 6.7702 90.00 90.00 90.00
Closest atoms and distances in Å follow each position.
Space group Pmn2_1 (No. 31)
Unique sites:
1 Hg 0.0000 0.0392 0.0000 x2  1 Te 3.16, 2 I 3.29-3.48
2 Hg 0.0000 0.7764 0.5801 x2  2 Br 2.71, 1 Te 2.77, 1 I 2.88
3 Hg 0.1713 0.3783 0.4658 x4  1 Hg 2.72, 1 Te 2.88
4 Te 0.0000 0.7377 0.9851 x2  3 Hg 2.77-2.88
5 I 0.0000 0.0447 0.4862 x2  1 Hg 2.88
6 Br 0.2168 0.3400 0.9486 x4  1 Hg 2.71

Properties
crystal system	orthorhombic
total moment	0.00	μB per cell
formation energy from raw total energies	-0.1877	eV per atom